KCdS3: optimized geometry, PBE.

The value obtained for the spin magnetization is 3.5 μB/f.u. The energy above the most stable polymorph in this dataset comes out at 5.033 eV per formula unit. The formation energy from raw total energies is 1.02 eV per atom.

Cell lengths 5.5575, 5.5575, 5.5575 Å; angles 90.00, 90.00, 90.00 degrees
Last column: nearest neighbours and their distance in Å.
Element x y z (fractional)
K: 0.0000 0.0000 0.0000  6 S 2.78
Cd: 0.5000 0.5000 0.5000  12 S 3.93
S: 0.0000 0.0000 0.5000  2 K 2.78
S: 0.0000 0.5000 0.0000  2 K 2.78
S: 0.5000 0.0000 0.0000  2 K 2.78